Entry from the Alexandria database: a relaxed AgPtO2 crystal (GGA-PBE).

a b c (Å): 5.6283 5.6283 6.5311
angles (deg): 85.17 85.17 32.23
Last column: nearest neighbours and their distance in Å.
Fractional positions:
Pt  0.8844  0.8844  0.9432  5 O 2.04-2.26
O  0.4320  0.4320  0.7519  2 Pt 2.04, 1 Ag 2.19
Ag  0.6392  0.6392  0.5518  2 O 2.19
O  0.6831  0.6831  0.8730  3 Pt 2.06-2.26, 1 Ag 2.19
O  0.5680  0.5680  0.2481  2 Pt 2.04, 1 Ag 2.19
Pt  0.1156  0.1156  0.0568  5 O 2.04-2.26
Ag  0.3608  0.3608  0.4482  2 O 2.19
O  0.3170  0.3170  0.1270  3 Pt 2.06-2.26, 1 Ag 2.19

Values from the calculation:
uncorrected formation energy: -0.3023 eV per atom
uncorrected energy: -5.004 eV per atom
space-group type: No. 12
total moment: 0.000 μB per atom